A plane-wave DFT calculation with PBE was carried out for crystalline MoOsSe2 at its relaxed geometry.

a b c (Å): 4.034 5.037 4.034
angles (deg): 70.47 80.51 109.54
Fractional coordinates of all 4 atoms:
Se 0.000 0.000 0.000
Mo 0.000 0.500 0.500
Se 0.500 0.000 0.500
Os 0.500 0.500 0.000

As for the energy relative to the lowest polymorph listed for this composition: 633 meV per atom. The space-group type is Fmmm, No. 69. For the total energy, the calculation gives -26.45 eV/cell. The uncorrected formation energy is 0.645 eV per atom.